1.
First-principles (PBE) data for a relaxed structure of Pr2Cd3Pb, as listed in Alexandria via LeMat-Bulk.

Summary:
**Total energy**: -146.71 eV per cell
**Calculated volume**: 27.58 A^3/atom
**Spin magnetization**: 0.0 μB/f.u.
**Energy of formation from the pure elements**: -0.388 eV per atom

Unit cell a=7.499 b=10.110 c=17.463 alpha=90.00 beta=90.00 gamma=90.00
Space group Fmmm (No. 69)
One atom of each set of equivalent atoms:
Pr 0.247 0.000 0.000 (multiplicity 8)
Pr 0.250 0.250 0.250 (multiplicity 8)
Cd 0.000 0.000 0.163 (multiplicity 8)
Cd 0.000 0.246 0.081 (multiplicity 16)
Pb 0.000 0.000 0.334 (multiplicity 8)

---

2.
First-principles (PBE) data for a relaxed structure of PrCd4Pb, as listed in Alexandria via LeMat-Bulk.

Summary:
**E above lowest polymorph**: 84.8 meV/atom
**Total energy**: -52.28 eV per cell
**Calculated volume**: 26.01 A^3/atom
**Spin magnetization**: 0.0 μB/f.u.
**Energy of formation from the pure elements**: -0.154 eV per atom

Unit cell a=8.546 b=8.546 c=8.546 alpha=90.00 beta=90.00 gamma=90.00
Space group F-43m (No. 216)
One atom of each set of equivalent atoms:
Pr 0.000 0.000 0.000 (multiplicity 4)
Cd 0.125 0.125 0.375 (multiplicity 16)
Pb 0.250 0.250 0.750 (multiplicity 4)

---

3.
First-principles (PBE) data for a relaxed structure of Pr4CdPb, as listed in Alexandria via LeMat-Bulk.

Summary:
**Total energy**: -24.27 eV per cell
**Calculated volume**: 36.55 A^3/atom
**Spin magnetization**: 0.0 μB/f.u.
**Energy of formation from the pure elements**: -0.087 eV per atom

Unit cell a=5.381 b=5.381 c=7.573 alpha=90.00 beta=90.00 gamma=90.00
Space group P4/mmm (No. 123)
One atom of each set of equivalent atoms:
Pr 0.000 0.500 0.240 (multiplicity 4)
Cd 0.000 0.000 0.000 (multiplicity 1)
Pb 0.500 0.500 0.500 (multiplicity 1)

---

> Number 1 is which compound?

Pr2Cd3Pb